1.
This record from Alexandria via LeMat-Bulk describes crystalline Tb2PrSm6 at its relaxed geometry. The functional is GGA-PBE.

a b c (Å): 6.1319 6.1319 15.4858
angles (deg): 101.04 101.04 33.00
Element x y z (fractional)
Tb  0.1669  0.1669  0.1658
Tb  0.8331  0.8331  0.8342
Pr  0.5000  0.5000  0.5000
Sm  0.1266  0.1266  0.9374
Sm  0.2067  0.2067  0.3946
Sm  0.4596  0.4596  0.2678
Sm  0.5404  0.5404  0.7322
Sm  0.7933  0.7933  0.6054
Sm  0.8734  0.8734  0.0626

Values from the calculation:
Symmetry: C2/m, No. 12
DOS(E_F) in states/eV per atom: 2.0811
Offset from the most stable computed form in kJ/mol of formula units: 0
E_form in eV/atom: 0.19

***

2.
This record from Alexandria via LeMat-Bulk describes crystalline CeSb2P2Pd7 at its relaxed geometry. The functional is GGA-PBE.

a b c (Å): 4.5313 4.5313 11.4213
angles (deg): 91.84 91.84 99.51
Element x y z (fractional)
Ce  0.0000  0.0000  0.0000
Sb  0.1472  0.1472  0.3851
Sb  0.8528  0.8528  0.6149
P  0.3099  0.3099  0.8139
P  0.6901  0.6901  0.1861
Pd  0.1688  0.5772  0.2236
Pd  0.3441  0.3441  0.6004
Pd  0.4228  0.8312  0.7764
Pd  0.5000  0.5000  0.0000
Pd  0.5772  0.1688  0.2236
Pd  0.6559  0.6559  0.3996
Pd  0.8312  0.4228  0.7764

Values from the calculation:
Symmetry: C2/m, No. 12
Raw formation energy in eV per atom: -0.504
DOS(E_F) in states/eV per atom: 0.9089

***

3.
This record from Alexandria via LeMat-Bulk describes crystalline Ru4Pt at its relaxed geometry. The functional is GGA-PBE.

a b c (Å): 4.7156 4.7156 4.7156
angles (deg): 99.52 99.52 132.00
Element x y z (fractional)
Ru  0.0940  0.3040  0.3980
Ru  0.3040  0.9060  0.2100
Ru  0.6960  0.0940  0.7900
Ru  0.9060  0.6960  0.6020
Pt  0.5000  0.5000  0.0000

Values from the calculation:
Symmetry: I4/m, No. 87
DOS(E_F) in states/eV per atom: 1.1268
Offset from the most stable computed form in kJ/mol of formula units: 0
E_form in eV/atom: 0.05

***

4.
This record from Alexandria via LeMat-Bulk describes crystalline Al2H6O at its relaxed geometry. The functional is GGA-PBE.

a b c (Å): 2.9262 5.3123 7.8140
angles (deg): 90.76 99.97 90.10
Element x y z (fractional)
Al  0.0413  0.2942  0.0899
Al  0.9587  0.7058  0.9101
H  0.1653  0.7800  0.3374
H  0.2178  0.7387  0.4305
H  0.3962  0.7040  0.7752
H  0.6038  0.2960  0.2248
H  0.7822  0.2613  0.5695
H  0.8347  0.2200  0.6626
O  0.0000  0.0000  0.0000

Values from the calculation:
Symmetry: P-1, No. 2
DOS(E_F) in states/eV per atom: 0.0000
Offset from the most stable computed form in kJ/mol of formula units: 0

***

5.
This record from Alexandria via LeMat-Bulk describes crystalline Ca2MgTlN at its relaxed geometry. The functional is GGA-PBE.

a b c (Å): 5.0420 5.0420 4.2955
angles (deg): 90.00 90.00 90.00
Element x y z (fractional)
Ca  0.0000  0.5000  0.0000
Ca  0.5000  0.0000  0.0000
Mg  0.0000  0.0000  0.5000
Tl  0.5000  0.5000  0.5000
N  0.0000  0.0000  0.0000

Values from the calculation:
Symmetry: P4/mmm, No. 123
Raw formation energy in eV per atom: -0.547
DOS(E_F) in states/eV per atom: 0.6836

***

6.
This record from Alexandria via LeMat-Bulk describes crystalline NaHoSi4 at its relaxed geometry. The functional is GGA-PBE.

a b c (Å): 5.2849 5.2849 5.2849
angles (deg): 60.00 60.00 60.00
Element x y z (fractional)
Na  0.0000  0.0000  0.0000
Ho  0.2500  0.2500  0.2500
Si  0.1202  0.6266  0.6266
Si  0.6266  0.1202  0.6266
Si  0.6266  0.6266  0.1202
Si  0.6266  0.6266  0.6266

Values from the calculation:
Symmetry: F-43m, No. 216
Raw formation energy in eV per atom: -0.182
DOS(E_F) in states/eV per atom: 0.1853

***

7.
This record from Alexandria via LeMat-Bulk describes crystalline PaBiF at its relaxed geometry. The functional is GGA-PBE.

a b c (Å): 4.1008 4.1008 10.7892
angles (deg): 90.00 90.00 120.00
Element x y z (fractional)
Pa  0.3333  0.6667  0.3454
Pa  0.6667  0.3333  0.6546
Bi  0.0000  0.0000  0.1561
Bi  0.0000  0.0000  0.8439
F  0.3333  0.6667  0.5801
F  0.6667  0.3333  0.4199

Values from the calculation:
Symmetry: P-3m1, No. 164
Raw formation energy in eV per atom: -1.242
DOS(E_F) in states/eV per atom: 0.6305
Offset from the most stable computed form in kJ/mol of formula units: 104

***

8.
This record from Alexandria via LeMat-Bulk describes crystalline Li2TePb at its relaxed geometry. The functional is GGA-PBE.

a b c (Å): 3.8415 3.7728 6.5129
angles (deg): 90.00 90.12 90.00
Element x y z (fractional)
Li  0.0000  0.0000  0.2134
Li  0.0000  0.0000  0.7866
Te  0.5000  0.5000  0.0000
Pb  0.5000  0.5000  0.5000

Values from the calculation:
Symmetry: P2/m, No. 10
Raw formation energy in eV per atom: -0.504
DOS(E_F) in states/eV per atom: 0.1882
Offset from the most stable computed form in kJ/mol of formula units: 7